*a*
## LaPrTh (PBE)

Data for a geometry-optimized LaPrTh structure.

Properties
The mass density is 8.1 g cm⁻³.

POSCAR file:
```
LaPrTh
1.0
-2.704 0.493 2.400
0.988 -3.377 -0.967
5.991 -0.192 6.789
Th La Pr
1 1 1
Direct
0.333 0.667 0.665 Th
0.667 0.333 0.350 La
0.000 0.000 0.985 Pr
```

*b*
## LaPrTh (PBE)

Data for a geometry-optimized LaPrTh structure.

Properties
The mass density is 8.1 g cm⁻³.

POSCAR file:
```
LaPrTh
1.0
-1.054 2.364 2.557
0.058 -2.660 2.482
15.119 3.299 3.181
Th La Pr
2 2 2
Direct
0.818 0.818 0.676 Th
0.318 0.318 0.827 Th
0.818 0.818 0.988 La
0.318 0.318 0.515 La
0.317 0.317 0.168 Pr
0.817 0.817 0.335 Pr
```

Bottom line: *b*, by a margin of 6 meV per atom.